Record 1
Density functional theory data (PBE-GGA) for TaPdAu2 after structural relaxation.

```
data_TaPdAu2
_symmetry_space_group_name_H-M 'R -3 m'
_symmetry_Int_Tables_number 166
_symmetry_space_group_name_Hall '-R 3 2"'
_cell_length_a 2.9365
_cell_length_b 2.9365
_cell_length_c 27.8387
_cell_angle_alpha 90.00
_cell_angle_beta 90.00
_cell_angle_gamma 120.00
loop_
_atom_site_label
_atom_site_type_symbol
_atom_site_fract_x
_atom_site_fract_y
_atom_site_fract_z
_atom_site_occupancy
Ta1 Ta 0.0000 0.0000 0.0000 1
Pd1 Pd 0.0000 0.0000 0.5000 1
Au1 Au 0.0000 0.0000 0.2495 1
```

Summary:
Size of the total moment = 0.000 μB/atom
Fermi-level density of states = 0.6996 states/eV/atom
V = 208 Å³/cell
Theoretical density = 16.3 Mg/m³
Energy of formation from the pure elements = -35 meV/atom

***

Record 2
Density functional theory data (PBE-GGA) for Ta2Pd12Au5 after structural relaxation.

```
data_Ta2Pd12Au5
_symmetry_space_group_name_H-M 'C 1 2/m 1'
_symmetry_Int_Tables_number 12
_cell_length_a 12.532
_cell_length_b 7.824
_cell_length_c 6.535
_cell_angle_alpha 90.00
_cell_angle_beta 91.12
_cell_angle_gamma 90.00
loop_
_symmetry_equiv_pos_as_xyz
'x,y,z'
'-x,-y,-z'
'-x,y,-z'
'x,-y,z'
'x+1/2,y+1/2,z'
'-x+1/2,-y+1/2,-z'
'-x+1/2,y+1/2,-z'
'x+1/2,-y+1/2,z'
loop_
_atom_site_label
_atom_site_type_symbol
_atom_site_fract_x
_atom_site_fract_y
_atom_site_fract_z
_atom_site_occupancy
Ta1 Ta 0.000 0.207 0.000 1
Pd1 Pd 0.049 0.000 0.314 1
Pd2 Pd 0.092 0.500 0.892 1
Pd3 Pd 0.123 0.205 0.665 1
Pd4 Pd 0.150 0.315 0.244 1
Au1 Au 0.000 0.500 0.500 1
Au2 Au 0.193 0.000 0.992 1
Au3 Au 0.240 0.500 0.578 1
```

Summary:
Size of the total moment = 0.000 μB/atom
Fermi-level density of states = 0.4303 states/eV/atom
V = 641 Å³/cell
Theoretical density = 13.6 Mg/m³
Energy of formation from the pure elements = -159 meV/atom

***

Record 3
Density functional theory data (PBE-GGA) for TaPdAu3 after structural relaxation.

```
data_TaPdAu3
_symmetry_space_group_name_H-M 'P m -3 m'
_symmetry_Int_Tables_number 221
_symmetry_space_group_name_Hall '-P 4 2 3'
_cell_length_a 4.917
_cell_length_b 4.917
_cell_length_c 4.917
_cell_angle_alpha 90.00
_cell_angle_beta 90.00
_cell_angle_gamma 90.00
loop_
_atom_site_label
_atom_site_type_symbol
_atom_site_fract_x
_atom_site_fract_y
_atom_site_fract_z
_atom_site_occupancy
Ta1 Ta 0.000 0.000 0.000 1
Pd1 Pd 0.500 0.500 0.500 1
Au1 Au 0.000 0.500 0.500 1
```

Summary:
Size of the total moment = 0.600 μB/atom
Fermi-level density of states = 0.7621 states/eV/atom
V = 119 Å³/cell
Theoretical density = 12.3 Mg/m³
Energy of formation from the pure elements = 1335 meV/atom

***

Record 4
Density functional theory data (PBE-GGA) for TaPdAu3 after structural relaxation.

```
data_TaPdAu3
_symmetry_space_group_name_H-M 'P m -3 m'
_symmetry_Int_Tables_number 221
_symmetry_space_group_name_Hall '-P 4 2 3'
_cell_length_a 5.074
_cell_length_b 5.074
_cell_length_c 5.074
_cell_angle_alpha 90.00
_cell_angle_beta 90.00
_cell_angle_gamma 90.00
loop_
_atom_site_label
_atom_site_type_symbol
_atom_site_fract_x
_atom_site_fract_y
_atom_site_fract_z
_atom_site_occupancy
Ta1 Ta 0.000 0.000 0.000 1
Pd1 Pd 0.500 0.500 0.500 1
Au1 Au 0.000 0.000 0.500 1
```

Summary:
Size of the total moment = 0.000 μB/atom
Fermi-level density of states = 0.7298 states/eV/atom
V = 131 Å³/cell
Theoretical density = 11.2 Mg/m³
Energy of formation from the pure elements = 1153 meV/atom

***

Record 5
Density functional theory data (PBE-GGA) for TaPd2Au8 after structural relaxation.

```
data_TaPd2Au8
_symmetry_space_group_name_H-M 'C 1 2/m 1'
_symmetry_Int_Tables_number 12
_cell_length_a 7.643
_cell_length_b 12.891
_cell_length_c 4.632
_cell_angle_alpha 90.00
_cell_angle_beta 115.73
_cell_angle_gamma 90.00
loop_
_symmetry_equiv_pos_as_xyz
'x,y,z'
'-x,-y,-z'
'-x,y,-z'
'x,-y,z'
'x+1/2,y+1/2,z'
'-x+1/2,-y+1/2,-z'
'-x+1/2,y+1/2,-z'
'x+1/2,-y+1/2,z'
loop_
_atom_site_label
_atom_site_type_symbol
_atom_site_fract_x
_atom_site_fract_y
_atom_site_fract_z
_atom_site_occupancy
Ta1 Ta 0.000 0.000 0.000 1
Pd1 Pd 0.000 0.311 0.500 1
Au1 Au 0.000 0.208 0.000 1
Au2 Au 0.113 0.500 0.823 1
Au3 Au 0.200 0.113 0.614 1
```

Summary:
Size of the total moment = 0.000 μB/atom
Fermi-level density of states = 0.4934 states/eV/atom
V = 411 Å³/cell
Theoretical density = 15.9 Mg/m³
Energy of formation from the pure elements = 116 meV/atom

***

Record 6
Density functional theory data (PBE-GGA) for TaPd4Au3 after structural relaxation.

```
data_TaPd4Au3
_symmetry_space_group_name_H-M 'C 1 2/m 1'
_symmetry_Int_Tables_number 12
_cell_length_a 8.959
_cell_length_b 4.055
_cell_length_c 8.154
_cell_angle_alpha 90.00
_cell_angle_beta 117.45
_cell_angle_gamma 90.00
loop_
_symmetry_equiv_pos_as_xyz
'x,y,z'
'-x,-y,-z'
'-x,y,-z'
'x,-y,z'
'x+1/2,y+1/2,z'
'-x+1/2,-y+1/2,-z'
'-x+1/2,y+1/2,-z'
'x+1/2,-y+1/2,z'
loop_
_atom_site_label
_atom_site_type_symbol
_atom_site_fract_x
_atom_site_fract_y
_atom_site_fract_z
_atom_site_occupancy
Ta1 Ta 0.000 0.000 0.000 1
Pd1 Pd 0.244 0.000 0.366 1
Pd2 Pd 0.247 0.500 0.121 1
Au1 Au 0.000 0.000 0.500 1
Au2 Au 0.001 0.500 0.245 1
```

Summary:
Size of the total moment = 0.000 μB/atom
Fermi-level density of states = 0.4792 states/eV/atom
V = 263 Å³/cell
Theoretical density = 15.1 Mg/m³
Energy of formation from the pure elements = -264 meV/atom

***

Record 7
Density functional theory data (PBE-GGA) for Ta2Pd9Au after structural relaxation.

```
data_Ta2Pd9Au
_symmetry_space_group_name_H-M 'P 4/m m m'
_symmetry_Int_Tables_number 123
_symmetry_space_group_name_Hall '-P 4 2'
_cell_length_a 3.981
_cell_length_b 3.981
_cell_length_c 11.959
_cell_angle_alpha 90.00
_cell_angle_beta 90.00
_cell_angle_gamma 90.00
loop_
_atom_site_label
_atom_site_type_symbol
_atom_site_fract_x
_atom_site_fract_y
_atom_site_fract_z
_atom_site_occupancy
Ta1 Ta 0.000 0.000 0.174 1
Pd1 Pd 0.000 0.500 0.000 1
Pd2 Pd 0.000 0.500 0.324 1
Pd3 Pd 0.500 0.500 0.161 1
Pd4 Pd 0.500 0.500 0.500 1
Au1 Au 0.000 0.000 0.500 1
```

Summary:
Size of the total moment = 0.000 μB/atom
Fermi-level density of states = 0.1754 states/eV/atom
V = 189 Å³/cell
Theoretical density = 13.3 Mg/m³
Energy of formation from the pure elements = -395 meV/atom

***

Record 8
Density functional theory data (PBE-GGA) for TaPd3Au2 after structural relaxation.

```
data_TaPd3Au2
_symmetry_space_group_name_H-M 'C 1 2/m 1'
_symmetry_Int_Tables_number 12
_cell_length_a 5.033
_cell_length_b 8.761
_cell_length_c 9.264
_cell_angle_alpha 90.00
_cell_angle_beta 100.48
_cell_angle_gamma 90.00
loop_
_symmetry_equiv_pos_as_xyz
'x,y,z'
'-x,-y,-z'
'-x,y,-z'
'x,-y,z'
'x+1/2,y+1/2,z'
'-x+1/2,-y+1/2,-z'
'-x+1/2,y+1/2,-z'
'x+1/2,-y+1/2,z'
loop_
_atom_site_label
_atom_site_type_symbol
_atom_site_fract_x
_atom_site_fract_y
_atom_site_fract_z
_atom_site_occupancy
Ta1 Ta 0.000 0.169 0.000 1
Pd1 Pd 0.229 0.000 0.240 1
Pd2 Pd 0.248 0.175 0.760 1
Au1 Au 0.000 0.000 0.500 1
Au2 Au 0.000 0.334 0.500 1
Au3 Au 0.000 0.500 0.000 1
```

Summary:
Size of the total moment = 0.000 μB/atom
Fermi-level density of states = 0.7225 states/eV/atom
V = 402 Å³/cell
Theoretical density = 14.8 Mg/m³
Energy of formation from the pure elements = -158 meV/atom

***

Record 9
Density functional theory data (PBE-GGA) for TaPd6Au3 after structural relaxation.

```
data_TaPd6Au3
_symmetry_space_group_name_H-M 'P 1 21/m 1'
_symmetry_Int_Tables_number 11
_cell_length_a 8.846
_cell_length_b 4.081
_cell_length_c 9.103
_cell_angle_alpha 90.00
_cell_angle_beta 92.44
_cell_angle_gamma 90.00
loop_
_symmetry_equiv_pos_as_xyz
'x,y,z'
'-x,-y,-z'
'-x,y+1/2,-z'
'x,-y+1/2,z'
loop_
_atom_site_label
_atom_site_type_symbol
_atom_site_fract_x
_atom_site_fract_y
_atom_site_fract_z
_atom_site_occupancy
Ta1 Ta 0.063 0.250 0.375 1
Pd1 Pd 0.049 0.750 0.896 1
Pd2 Pd 0.134 0.250 0.684 1
Pd3 Pd 0.150 0.750 0.205 1
Pd4 Pd 0.229 0.750 0.500 1
Pd5 Pd 0.345 0.250 0.304 1
Pd6 Pd 0.449 0.750 0.100 1
Au1 Au 0.249 0.250 0.000 1
Au2 Au 0.348 0.750 0.798 1
Au3 Au 0.450 0.250 0.600 1
```

Summary:
Size of the total moment = 0.000 μB/atom
Fermi-level density of states = 0.4415 states/eV/atom
V = 328 Å³/cell
Theoretical density = 14.3 Mg/m³
Energy of formation from the pure elements = -247 meV/atom

***

Record 10
Density functional theory data (PBE-GGA) for TaPd5Au after structural relaxation.

```
data_TaPd5Au
_symmetry_space_group_name_H-M 'P 4/m m m'
_symmetry_Int_Tables_number 123
_symmetry_space_group_name_Hall '-P 4 2'
_cell_length_a 3.978
_cell_length_b 3.978
_cell_length_c 7.572
_cell_angle_alpha 90.00
_cell_angle_beta 90.00
_cell_angle_gamma 90.00
loop_
_atom_site_label
_atom_site_type_symbol
_atom_site_fract_x
_atom_site_fract_y
_atom_site_fract_z
_atom_site_occupancy
Ta1 Ta 0.000 0.000 0.000 1
Pd1 Pd 0.000 0.000 0.500 1
Pd2 Pd 0.000 0.500 0.224 1
Au1 Au 0.500 0.500 0.500 1
```

Summary:
Size of the total moment = 0.000 μB/atom
Fermi-level density of states = 0.5025 states/eV/atom
V = 120 Å³/cell
Theoretical density = 12.6 Mg/m³
Energy of formation from the pure elements = -136 meV/atom

***

Question: Look up the Fermi-level density of states of the ninth one.
Answer: 0.4415 states/eV/atom

***

Question: Which of these has the highest V?
Answer: Ta2Pd12Au5

***

Question: Number 9 is which compound?
Answer: TaPd6Au3